Compound: CoTc2PI
Source: Alexandria via LeMat-Bulk
Functional: PBE
Structure: optimized geometry

```
data_CoTc2PI
_chemical_formula_sum 'Co1 Tc2 P1 I1'
_symmetry_space_group_name_H-M 'P 1'
_symmetry_Int_Tables_number 1
_symmetry_space_group_name_Hall 'P 1'
_cell_length_a 4.5528
_cell_length_b 4.5528
_cell_length_c 4.1130
_cell_angle_alpha 90.00
_cell_angle_beta 90.00
_cell_angle_gamma 90.00
loop_
_atom_site_label
_atom_site_type_symbol
_atom_site_fract_x
_atom_site_fract_y
_atom_site_fract_z
Co1 Co 0.0000 0.0000 0.0000
Tc1 Tc 0.0000 0.5000 0.5000
Tc2 Tc 0.5000 0.0000 0.5000
P1 P 0.0000 0.0000 0.5000
I1 I 0.5000 0.5000 0.0000
```

Computed properties:
**Formation energy from raw total energies**: 725 meV/atom

***

Compound: TlSn3Hg
Source: Alexandria via LeMat-Bulk
Functional: PBE
Structure: optimized geometry

```
data_TlSn3Hg
_chemical_formula_sum 'Tl4 Sn12 Hg4'
_symmetry_space_group_name_H-M 'P 1'
_symmetry_Int_Tables_number 1
_symmetry_space_group_name_Hall 'P 1'
_cell_length_a 10.9651
_cell_length_b 10.9651
_cell_length_c 5.9773
_cell_angle_alpha 98.72
_cell_angle_beta 98.72
_cell_angle_gamma 55.09
loop_
_atom_site_label
_atom_site_type_symbol
_atom_site_fract_x
_atom_site_fract_y
_atom_site_fract_z
Tl1 Tl 0.0835 0.9165 0.7500
Tl2 Tl 0.3290 0.6710 0.2500
Tl3 Tl 0.6710 0.3290 0.7500
Tl4 Tl 0.9165 0.0835 0.2500
Sn1 Sn 0.0055 0.7196 0.0690
Sn2 Sn 0.0300 0.3451 0.4623
Sn3 Sn 0.2220 0.3720 0.0766
Sn4 Sn 0.2804 0.9945 0.4310
Sn5 Sn 0.3451 0.0300 0.9623
Sn6 Sn 0.3720 0.2220 0.5766
Sn7 Sn 0.6280 0.7780 0.4234
Sn8 Sn 0.6549 0.9700 0.0377
Sn9 Sn 0.7196 0.0055 0.5690
Sn10 Sn 0.7780 0.6280 0.9234
Sn11 Sn 0.9700 0.6549 0.5377
Sn12 Sn 0.9945 0.2804 0.9310
Hg1 Hg 0.3000 0.5364 0.6777
Hg2 Hg 0.4636 0.7000 0.8223
Hg3 Hg 0.5364 0.3000 0.1777
Hg4 Hg 0.7000 0.4636 0.3223
```

Computed properties:
**Formation energy from the elements**: 0.037 eV/atom

***

Compound: PBr
Source: Alexandria via LeMat-Bulk
Functional: PBE
Structure: optimized geometry

```
data_PBr
_chemical_formula_sum 'P4 Br4'
_symmetry_space_group_name_H-M 'P 1'
_symmetry_Int_Tables_number 1
_symmetry_space_group_name_Hall 'P 1'
_cell_length_a 3.6190
_cell_length_b 16.3779
_cell_length_c 3.6198
_cell_angle_alpha 90.00
_cell_angle_beta 90.00
_cell_angle_gamma 90.00
loop_
_atom_site_label
_atom_site_type_symbol
_atom_site_fract_x
_atom_site_fract_y
_atom_site_fract_z
P1 P 0.0000 0.2439 0.2500
P2 P 0.0000 0.7561 0.7500
P3 P 0.5000 0.2561 0.7500
P4 P 0.5000 0.7439 0.2500
Br1 Br 0.0000 0.1073 0.2500
Br2 Br 0.0000 0.8927 0.7500
Br3 Br 0.5000 0.3927 0.7500
Br4 Br 0.5000 0.6073 0.2500
```

Computed properties:
**Formation energy from raw total energies**: -68 meV/atom

***

Compound: Sr2GeSbIr
Source: Alexandria via LeMat-Bulk
Functional: PBE
Structure: optimized geometry

```
data_Sr2GeSbIr
_chemical_formula_sum 'Sr2 Ge1 Sb1 Ir1'
_symmetry_space_group_name_H-M 'P 1'
_symmetry_Int_Tables_number 1
_symmetry_space_group_name_Hall 'P 1'
_cell_length_a 5.8048
_cell_length_b 5.8048
_cell_length_c 4.9420
_cell_angle_alpha 90.00
_cell_angle_beta 90.00
_cell_angle_gamma 90.00
loop_
_atom_site_label
_atom_site_type_symbol
_atom_site_fract_x
_atom_site_fract_y
_atom_site_fract_z
Sr1 Sr 0.0000 0.5000 0.0000
Sr2 Sr 0.5000 0.0000 0.0000
Ge1 Ge 0.0000 0.0000 0.5000
Sb1 Sb 0.5000 0.5000 0.5000
Ir1 Ir 0.5000 0.5000 0.0000
```

Computed properties:
**Formation energy from raw total energies**: -187 meV/atom